No. 1
Compound: NpGa3Ir3
Source: the Alexandria database
Functional: GGA-PBE
Structure: relaxed

```
14
Lattice="6.7696 0.0000 0.0000 0.0000 6.7696 0.0000 0.0000 0.0000 6.7696" Properties=species:S:1:pos:R:3 pbc="T T T"
Np 0.0000 0.0000 0.0000
Np 3.3848 3.3848 3.3848
Ga 0.0000 1.6924 3.3848
Ga 0.0000 5.0772 3.3848
Ga 1.6924 3.3848 0.0000
Ga 3.3848 0.0000 1.6924
Ga 3.3848 0.0000 5.0772
Ga 5.0772 3.3848 0.0000
Ir 0.0000 3.3848 1.6924
Ir 0.0000 3.3848 5.0772
Ir 1.6924 0.0000 3.3848
Ir 3.3848 1.6924 0.0000
Ir 3.3848 5.0772 0.0000
Ir 5.0772 0.0000 3.3848
```

Values from the calculation:
- Uncorrected energy: -6.6571 eV/atom
- Energy relative to the lowest polymorph listed for this composition: 657 meV per atom
- Symmetry: Pm-3n, No. 223
- Magnetic moment: 4.4 μB per formula unit
- E_form: 27.64 kJ per mole of atoms
- Density of states at the Fermi level: 24.73 states/eV per cell

No. 2
Compound: PrMgGaHg
Source: the Alexandria database
Functional: GGA-PBE
Structure: relaxed

```
4
Lattice="0.0000 3.6334 3.6334 3.6334 0.0000 3.6334 3.6334 3.6334 0.0000" Properties=species:S:1:pos:R:3 pbc="T T T"
Pr 0.0000 0.0000 0.0000
Mg 3.6334 3.6334 3.6334
Ga 1.8167 1.8167 1.8167
Hg 5.4502 5.4502 5.4502
```

Values from the calculation:
- Uncorrected energy: -2.8647 eV/atom
- Symmetry: F-43m, No. 216
- Magnetic moment: 0.0 μB per formula unit
- E_form: -42.36 kJ per mole of atoms
- Density of states at the Fermi level: 1.46 states/eV per cell

No. 3
Compound: Ho4C2Br
Source: the Alexandria database
Functional: GGA-PBE
Structure: relaxed

```
7
Lattice="1.8113 1.0458 13.2441 -1.8113 1.0458 13.2441 0.0000 -2.0915 13.2441" Properties=species:S:1:pos:R:3 pbc="T T T"
Ho 0.0000 0.0000 4.9199
Ho 0.0000 0.0000 10.9435
Ho 0.0000 0.0000 28.7888
Ho 0.0000 0.0000 34.8125
C 0.0000 0.0000 16.7516
C 0.0000 0.0000 22.9808
Br 0.0000 0.0000 0.0000
```

Values from the calculation:
- Uncorrected energy: -6.1581 eV/atom
- Symmetry: R-3m, No. 166
- Uncorrected formation energy: -0.67 eV/atom
- Magnetic moment: 0.0 μB per formula unit
- Density of states at the Fermi level: 4.16 states/eV per cell

> Look up the magnetic moment of the third one.

0.0 μB per formula unit